No. 1
CuPBr2: relaxed, PBE.

The calculation puts the uncorrected formation energy at 172 meV/atom. As for the energy above the lowest structure with this stoichiometry: 1.266 eV per formula unit.

a = 3.786 Å, b = 3.786 Å, c = 8.974 Å
α = 90.00°, β = 90.00°, γ = 126.35°
Fractional coordinates of all 4 atoms:
Br 0.000 0.000 0.925
Br 0.500 0.500 0.347
Cu 0.000 0.000 0.532
P 0.500 0.500 0.697

---

No. 2
TaCdFe2: relaxed, PBE.

The value obtained for the formation energy is 0.89 eV/f.u.

a = 2.759 Å, b = 2.759 Å, c = 8.397 Å
α = 90.00°, β = 90.00°, γ = 104.37°
Last column: magnetic moment on the atom in μB.
Fractional coordinates of all 4 atoms:
Cd 0.500 0.500 0.750  -0.05
Fe 0.000 0.000 0.011  2.20
Fe 0.000 0.000 0.489  2.20
Ta 0.500 0.500 0.250  -0.26

---

Which formula does entry 1 have?
CuPBr2

---

Repeat the first record exactly.
CuPBr2: relaxed, PBE.

The calculation puts the uncorrected formation energy at 172 meV/atom. As for the energy above the lowest structure with this stoichiometry: 1.266 eV per formula unit.

a = 3.786 Å, b = 3.786 Å, c = 8.974 Å
α = 90.00°, β = 90.00°, γ = 126.35°
Fractional coordinates of all 4 atoms:
Br 0.000 0.000 0.925
Br 0.500 0.500 0.347
Cu 0.000 0.000 0.532
P 0.500 0.500 0.697